4
Lattice="2.824 0.000 0.000 0.000 4.951 0.000 0.000 0.000 4.951" Properties=species:S:1:pos:R:3 comment="KMoRh2 PBE-GGA relaxed" spacegroup="P4/mmm (123)" dos_ef_per_ev_cell=6.1 vol_a3_per_fu=69.2 pbc="T T T"
K 1.412 2.476 0.000
Mo 1.412 0.000 2.476
Rh 0.000 0.000 0.000
Rh 0.000 2.476 2.476

=====

4
Lattice="2.753 0.000 0.000 0.000 2.753 0.000 0.000 0.000 9.812" Properties=species:S:1:pos:R:3 comment="KMoRh2 PBE-GGA relaxed" spacegroup="P4mm (99)" dos_ef_per_ev_cell=5.1 vol_a3_per_fu=74.4 pbc="T T T"
K 0.000 0.000 4.675
Mo 1.376 1.376 7.969
Rh 0.000 0.000 0.061
Rh 1.376 1.376 2.013

=====

no.,polymorph energy (0 for the lowest one) (kJ/mol of atoms),raw total energy (Ry per atom),formation energy (eV per atom)
1,57.1,-0.427,0.85
2,35.6,-0.443,0.63